Entry 1:
A geometry-optimized MgZn2Ag structure, computed with PBE.

a = 4.843 Å, b = 4.843 Å, c = 4.843 Å
α = 128.90°, β = 128.90°, γ = 75.17°
Sites, in units of the cell vectors:
1 Mg 0.000 0.000 0.000
2 Zn 0.250 0.750 0.500
3 Zn 0.500 0.500 0.000
4 Ag 0.750 0.250 0.500

Summary:
- E_tot: -1.831 eV/atom
- DOS(E_F): 1.02 states/eV/f.u.
- Symmetry: I-4m2
- Formation enthalpy at 0 K: -32 kJ/mol of formula units
- Crystal system: tetragonal

Entry 2:
A geometry-optimized Mg4ZnAg2 structure, computed with PBE.

a = 9.488 Å, b = 9.488 Å, c = 9.488 Å
α = 27.10°, β = 27.10°, γ = 27.10°
Sites, in units of the cell vectors:
1 Mg 0.120 0.120 0.120
2 Mg 0.300 0.300 0.300
3 Mg 0.700 0.700 0.700
4 Mg 0.880 0.880 0.880
5 Zn 0.500 0.500 0.500
6 Ag 0.405 0.405 0.405
7 Ag 0.595 0.595 0.595

Summary:
- E_tot: -1.919 eV/atom
- DOS(E_F): 2.25 states/eV/f.u.
- Symmetry: R-3m
- Formation enthalpy at 0 K: -8 kJ/mol of formula units
- Polymorph energy (0 for the lowest one): 113.1 meV/atom
- Crystal system: trigonal